# 1
## Nb2Ga2Pt (PBE-GGA)

Data for crystalline Nb2Ga2Pt at its relaxed geometry.

a = 2.9080 Å, b = 4.4289 Å, c = 6.7189 Å
α = 109.15°, β = 90.00°, γ = 90.00°
Sites, in units of the cell vectors:
Ga: 0.0000 0.1985 0.3973
Ga: 0.0000 0.8015 0.6027
Pt: 0.0000 0.0000 0.0000
Nb: 0.5000 0.3922 0.7843
Nb: 0.5000 0.6078 0.2157

Calculated values
Energy in eV per atom: -6.834
Offset from the most stable computed form in kJ/mol of formula units: 14
Space group: P2/m, No. 10

# 2
## Ba2InPb (PBE-GGA)

Data for crystalline Ba2InPb at its relaxed geometry.

a = 9.5825 Å, b = 9.5825 Å, c = 7.7458 Å
α = 51.79°, β = 51.79°, γ = 90.00°
Sites, in units of the cell vectors:
Ba: 0.1227 0.6250 0.2500
Ba: 0.8750 0.8773 0.7500
Ba: 0.3750 0.3727 0.7500
Ba: 0.6273 0.1250 0.2500
Pb: 0.0000 0.0000 0.0000
Pb: 0.7500 0.2500 0.5000
In: 0.5000 0.5000 0.0000
In: 0.2500 0.7500 0.5000

Calculated values
Energy in eV per atom: -2.697
Offset from the most stable computed form in kJ/mol of formula units: 147
Space group: I-42d, No. 122

# 3
## Tb5InRu (PBE-GGA)

Data for crystalline Tb5InRu at its relaxed geometry.

a = 5.9755 Å, b = 5.9755 Å, c = 11.8024 Å
α = 77.11°, β = 77.11°, γ = 78.09°
Sites, in units of the cell vectors:
Tb: 0.0809 0.4140 0.8759
Tb: 0.9926 0.0074 0.2500
Tb: 0.0074 0.9926 0.7500
Tb: 0.4140 0.0809 0.3759
Tb: 0.7935 0.4554 0.4370
Tb: 0.5446 0.2065 0.0630
Tb: 0.5860 0.9191 0.6241
Tb: 0.2065 0.5446 0.5630
Tb: 0.9191 0.5860 0.1241
Tb: 0.4554 0.7935 0.9370
Ru: 0.0000 0.0000 0.0000
Ru: 0.0000 0.0000 0.5000
In: 0.5979 0.4021 0.7500
In: 0.4021 0.5979 0.2500

Calculated values
Energy in eV per atom: -5.189
Space group: C2/c, No. 15

# 4
## Nd6Ho2In (PBE-GGA)

Data for crystalline Nd6Ho2In at its relaxed geometry.

a = 6.3612 Å, b = 11.4636 Å, c = 11.4636 Å
α = 47.80°, β = 106.14°, γ = 106.14°
Sites, in units of the cell vectors:
Nd: 0.5615 0.9931 0.8489
Nd: 0.7812 0.3491 0.4928
Nd: 0.5816 0.5814 0.0811
Nd: 0.2188 0.6509 0.5072
Nd: 0.4385 0.0069 0.1511
Nd: 0.9184 0.9189 0.4186
Nd: 0.7188 0.5072 0.6509
Nd: 0.0816 0.0811 0.5814
Nd: 0.4184 0.4186 0.9189
Nd: 0.2812 0.4928 0.3491
Nd: 0.0615 0.8489 0.9931
Nd: 0.9385 0.1511 0.0069
In: 0.7500 0.7501 0.2499
In: 0.2500 0.2499 0.7501
Ho: 0.0766 0.6726 0.8275
Ho: 0.9234 0.3274 0.1725
Ho: 0.4234 0.1725 0.3274
Ho: 0.5766 0.8275 0.6726

Calculated values
Energy in eV per atom: -4.544
Offset from the most stable computed form in kJ/mol of formula units: 0
Space group: Ibam, No. 72